Entry 1:
Here is NaReF3 after structural relaxation from Alexandria via LeMat-Bulk. Energies are from GGA-PBE.

Its energy relative to the lowest polymorph listed for this composition is 0 meV/atom. The calculation puts the energy relative to the elements, uncorrected at -112.0 kJ/mol of atoms. Its crystal system is cubic.

Cell: 4.238 4.238 4.238 Å, 90.00 90.00 90.00°
Space group Pm-3m (No. 221)
Unique sites:
Na  0.000  0.000  0.000
Re  0.500  0.500  0.500
F  0.000  0.500  0.500

Entry 2:
Here is La8Pm6Pr after structural relaxation from Alexandria via LeMat-Bulk. Energies are from GGA-PBE.

Its energy relative to the lowest polymorph listed for this composition is 107 meV/atom. The formation energy is 0.128 eV/atom. Its crystal system is trigonal.

Cell: 9.6452 9.6452 20.1205 Å, 90.00 90.00 120.00°
Space group R-3 (No. 148, hexagonal axes)
Unique sites:
La  0.0000  0.0000  0.0749
La  0.0659  0.8194  0.6642
Pm  0.0453  0.7928  0.1880
Pr  0.0000  0.0000  0.5000

Entry 3:
Here is Pm7Ho4Tm after structural relaxation from Alexandria via LeMat-Bulk. Energies are from GGA-PBE.

Its energy relative to the lowest polymorph listed for this composition is 0 meV/atom. The formation energy is 0.004 eV/atom. Its crystal system is triclinic.

Cell: 6.283 7.243 8.934 Å, 89.97 76.47 89.97°
Space group P-1 (No. 2)
Unique sites:
Pm  0.000  0.000  0.000
Pm  0.221  0.500  0.335
Pm  0.279  0.751  0.666
Pm  0.499  0.248  0.999
Ho  0.221  0.000  0.335
Ho  0.278  0.248  0.668
Tm  0.000  0.500  0.000

Entry 4:
Here is YThBeCu after structural relaxation from Alexandria via LeMat-Bulk. Energies are from GGA-PBE.

The formation energy is 0.042 eV/atom. Its crystal system is cubic.

Cell: 7.023 7.023 7.023 Å, 90.00 90.00 90.00°
Space group F-43m (No. 216)
Unique sites:
Y  0.000  0.000  0.000
Th  0.000  0.000  0.500
Be  0.250  0.250  0.250
Cu  0.250  0.250  0.750

Entry 5:
Here is Cs2YSnBr6 after structural relaxation from Alexandria via LeMat-Bulk. Energies are from GGA-PBE.

Its energy relative to the lowest polymorph listed for this composition is 0 meV/atom. The calculation puts the energy relative to the elements, uncorrected at -141.9 kJ/mol of atoms. Its crystal system is tetragonal.

Cell: 8.178 8.178 13.101 Å, 90.00 90.00 90.00°
Space group I4/mmm (No. 139)
Unique sites:
Cs  0.000  0.500  0.250
Y  0.000  0.000  0.000
Sn  0.000  0.000  0.500
Br  0.000  0.000  0.213
Br  0.243  0.243  0.000

Entry 6:
Here is Ac2Be3GaPt4 after structural relaxation from Alexandria via LeMat-Bulk. Energies are from GGA-PBE.

The formation energy is -0.822 eV/atom. Its crystal system is tetragonal.

Cell: 4.237 4.237 10.227 Å, 90.00 90.00 90.00°
Space group P-4m2 (No. 115)
Unique sites:
Ac  0.000  0.500  0.243
Be  0.000  0.500  0.894
Be  0.500  0.500  0.500
Ga  0.000  0.000  0.500
Pt  0.000  0.000  0.000
Pt  0.000  0.500  0.637
Pt  0.500  0.500  0.000

Please write out number 6 again, unchanged.
Here is Ac2Be3GaPt4 after structural relaxation from Alexandria via LeMat-Bulk. Energies are from GGA-PBE.

The formation energy is -0.822 eV/atom. Its crystal system is tetragonal.

Cell: 4.237 4.237 10.227 Å, 90.00 90.00 90.00°
Space group P-4m2 (No. 115)
Unique sites:
Ac  0.000  0.500  0.243
Be  0.000  0.500  0.894
Be  0.500  0.500  0.500
Ga  0.000  0.000  0.500
Pt  0.000  0.000  0.000
Pt  0.000  0.500  0.637
Pt  0.500  0.500  0.000